[1]
Below is PmDyNi2 after structural relaxation, with properties calculated at the PBE-GGA level.

Values from the calculation:
The calculation puts the density of states at the Fermi level at 1.13 states/eV/atom. The value obtained for the electronic total energy is -5.546 eV per atom. The volume is 20.06 Å³/atom. As for the mass density: 8.79 g cm⁻³.

Structure (CIF):
```
data_PmDyNi2
_cell_length_a 6.8467
_cell_length_b 6.8467
_cell_length_c 6.8467
_cell_angle_alpha 90.00
_cell_angle_beta 90.00
_cell_angle_gamma 90.00
_symmetry_space_group_name_H-M 'F m -3 m'
_symmetry_Int_Tables_number 225
_symmetry_space_group_name_Hall '-F 4 2 3'
loop_
_atom_site_label
_atom_site_type_symbol
_atom_site_fract_x
_atom_site_fract_y
_atom_site_fract_z
Pm1 Pm 0.0000 0.0000 0.0000
Dy1 Dy 0.0000 0.0000 0.5000
Ni1 Ni 0.2500 0.2500 0.2500
```

---

[2]
Below is Ac2PrTmSe4 after structural relaxation, with properties calculated at the PBE-GGA level.

Values from the calculation:
The calculation puts the density of states at the Fermi level at 0.49 states/eV/atom. The value obtained for the electronic total energy is -5.721 eV per atom. Its uncorrected formation energy is -1.80 eV/atom. The volume is 28.22 Å³/atom. As for the mass density: 7.94 g cm⁻³.

Structure (CIF):
```
data_Ac2PrTmSe4
_cell_length_a 7.3523
_cell_length_b 4.1961
_cell_length_c 7.7022
_cell_angle_alpha 90.00
_cell_angle_beta 108.16
_cell_angle_gamma 90.00
_symmetry_space_group_name_H-M 'P 1 2/m 1'
_symmetry_Int_Tables_number 10
_symmetry_space_group_name_Hall '-P 2y'
loop_
_atom_site_label
_atom_site_type_symbol
_atom_site_fract_x
_atom_site_fract_y
_atom_site_fract_z
Ac1 Ac 0.0000 0.0000 0.0000
Ac2 Ac 0.5000 0.5000 0.0000
Pr1 Pr 0.0000 0.5000 0.5000
Tm1 Tm 0.5000 0.0000 0.5000
Se1 Se 0.2542 0.0000 0.7285
Se2 Se 0.2710 0.5000 0.2792
```

---

[3]
Below is KGe4Pt5 after structural relaxation, with properties calculated at the PBE-GGA level.

Values from the calculation:
The calculation puts the density of states at the Fermi level at 0.12 states/eV/atom. The value obtained for the electronic total energy is -5.389 eV per atom. The volume is 19.72 Å³/atom. As for the mass density: 10.99 g cm⁻³.

Structure (CIF):
```
data_KGe4Pt5
_cell_length_a 7.4133
_cell_length_b 11.7630
_cell_length_c 4.5237
_cell_angle_alpha 90.00
_cell_angle_beta 90.00
_cell_angle_gamma 90.00
_symmetry_space_group_name_H-M 'P m m n'
_symmetry_Int_Tables_number 59
loop_
_symmetry_equiv_pos_as_xyz
'x,y,z'
'-x,-y,-z'
'-x+1/2,-y+1/2,z'
'x+1/2,y+1/2,-z'
'x+1/2,-y,-z'
'-x+1/2,y,z'
'-x,y+1/2,-z'
'x,-y+1/2,z'
loop_
_atom_site_label
_atom_site_type_symbol
_atom_site_fract_x
_atom_site_fract_y
_atom_site_fract_z
K1 K 0.2500 0.2500 0.0528
Ge1 Ge 0.0676 0.7500 0.4789
Ge2 Ge 0.2500 0.5373 0.7711
Pt1 Pt 0.0540 0.5606 0.2563
Pt2 Pt 0.2500 0.7500 0.9725
```

---

[4]
Below is KAs2Cl after structural relaxation, with properties calculated at the PBE-GGA level.

Values from the calculation:
The calculation puts the density of states at the Fermi level at 0.27 states/eV/atom. The value obtained for the electronic total energy is -3.720 eV per atom. Its uncorrected formation energy is -0.66 eV/atom. The volume is 31.64 Å³/atom. As for the mass density: 2.94 g cm⁻³.

Structure (CIF):
```
data_KAs2Cl
_cell_length_a 15.0024
_cell_length_b 3.6863
_cell_length_c 4.7191
_cell_angle_alpha 90.00
_cell_angle_beta 104.11
_cell_angle_gamma 90.00
_symmetry_space_group_name_H-M 'C 1 2/m 1'
_symmetry_Int_Tables_number 12
_symmetry_space_group_name_Hall '-C 2y'
loop_
_atom_site_label
_atom_site_type_symbol
_atom_site_fract_x
_atom_site_fract_y
_atom_site_fract_z
K1 K 0.0000 0.0000 0.0000
As1 As 0.2357 0.5000 0.8288
Cl1 Cl 0.0000 0.5000 0.5000
```

---

- What is the volume in the fourth record?
  31.64 Å³/atom

---

- Which value of electronic total energy does entry 2 give?
  -5.721 eV per atom

---

- What is the mass density in the third record?
  10.99 g cm⁻³

---

- Look up the mass density of the first one.
  8.79 g cm⁻³